{
  "formula": "FeCu2Re",
  "functional": "PBE-GGA",
  "state": "optimized geometry",
  "rho_g_cm3": 12.2,
  "formation_enthalpy_0k_ev_per_atom": 0.3414,
  "n_ef_per_ev_cell": 3.00,
  "relative_energy_mev_per_atom": 156,
  "dft_energy_ev_per_atom": -6.934,
  "cell": [[0.000, 2.927, 2.927], [2.927, 0.000, 2.927], [2.927, 2.927, 0.000]],
  "species": ["Fe", "Cu", "Cu", "Re"],
  "fractional_positions": [[0.000, 0.000, 0.000], [0.500, 0.500, 0.500], [0.750, 0.750, 0.750], [0.250, 0.250, 0.250]]
}